No. 1
Density functional theory data (PBE) for a relaxed Na3Nd3MnSe8 crystal.

## Properties
The value obtained for the density is 4.63 g/cm³. Its space group is R-3m. The value obtained for the formation energy from raw total energies is -131.3 kJ/mol of atoms.

Structure (extended XYZ):
```
15
Lattice="4.1671 2.4059 7.0795 -4.1671 2.4059 7.0795 0.0000 -4.8118 7.0795" Properties=species:S:1:pos:R:3 pbc="T T T"
Na -2.0836 -1.2029 7.0795
Na -2.0836 1.2029 14.1589
Na 0.0000 2.4059 7.0794
Nd -4.1671 0.0000 10.6192
Nd -2.0836 1.2029 3.5397
Nd 2.0836 1.2029 3.5397
Mn 0.0000 0.0000 10.6192
Se 0.0000 0.0000 5.2282
Se -1.8241 -1.0532 12.1294
Se 0.0000 -2.1063 9.1089
Se -1.8241 1.0532 9.1089
Se 1.8241 -1.0531 12.1294
Se 0.0000 2.1063 12.1294
Se 1.8241 1.0531 9.1089
Se 0.0000 0.0000 16.0102
```



No. 2
Density functional theory data (PBE) for a relaxed MgZnMo2 crystal.

## Properties
The value obtained for the density is 6.81 g/cm³. Its space group is I-42d. Its energy relative to the lowest polymorph listed for this composition is 649 meV/atom. Its formation energy is 74.9 kJ/mol of atoms.

Structure (extended XYZ):
```
8
Lattice="-3.6650 3.6650 2.5576 3.6650 -3.6650 2.5576 3.6650 3.6650 -2.5576" Properties=species:S:1:pos:R:3 pbc="T T T"
Mg 0.0000 0.0000 0.0000
Mg 0.0000 3.6650 1.2788
Zn 3.6650 0.0000 1.2788
Zn 0.0000 0.0000 2.5576
Mo 1.8325 2.0060 -0.6394
Mo 5.3239 1.8325 0.6394
Mo 1.8325 1.6590 1.9182
Mo -1.6590 1.8325 3.1970
```



No. 3
Density functional theory data (PBE) for a relaxed NaLiEr2Te4 crystal.

## Properties
The value obtained for the density is 6.03 g/cm³. Its space group is P2/m. The value obtained for the formation energy from raw total energies is -123.8 kJ/mol of atoms.

Structure (extended XYZ):
```
8
Lattice="7.5556 0.0000 0.0000 0.0000 4.3640 0.0000 -2.5166 0.0000 7.3107" Properties=species:S:1:pos:R:3 pbc="T T T"
Na 0.0000 0.0000 0.0000
Li 3.7778 2.1820 0.0000
Er -1.2583 2.1820 3.6553
Er 2.5195 0.0000 3.6553
Te 0.0300 0.0000 5.4282
Te 1.2897 2.1820 1.9068
Te 3.7493 2.1820 5.4038
Te 5.0089 0.0000 1.8825
```



No. 4
Density functional theory data (PBE) for a relaxed Mg5Si6 crystal.

## Properties
The value obtained for the density is 2.36 g/cm³. Its space group is P1. Its energy relative to the lowest polymorph listed for this composition is 66 meV/atom. The value obtained for the formation energy from raw total energies is 8.8 kJ/mol of atoms.

Structure (extended XYZ):
```
22
Lattice="5.1957 0.0000 0.0000 1.0215 5.5078 0.0000 0.9472 -0.0822 14.2433" Properties=species:S:1:pos:R:3 pbc="T T T"
Mg 0.0000 0.0000 0.0000
Mg 0.8349 2.7246 1.6633
Mg 2.0906 2.7581 12.8550
Mg 1.9678 1.5225 4.2954
Mg 3.2854 3.9466 9.0427
Mg 3.4460 4.4472 2.3350
Mg 4.6394 1.7187 11.8407
Mg 4.6901 0.6459 8.8689
Mg 4.6807 0.4972 5.5933
Mg 5.8301 3.1762 7.1449
Si 1.9690 5.0003 11.3015
Si 2.2283 1.3350 10.4295
Si 1.8379 0.2815 6.9839
Si 3.1303 4.0518 5.2627
Si 3.1976 2.2663 6.9012
Si 3.5480 0.8637 14.2117
Si 4.4854 4.6904 11.5023
Si 4.6777 3.8637 13.8232
Si 3.5441 1.6201 2.0767
Si 5.4199 3.6215 4.3850
Si 5.8984 3.3514 9.9410
Si 6.1328 5.4234 2.8789
```



No. 5
Density functional theory data (PBE) for a relaxed Sc2Zn5Co5 crystal.

## Properties
The value obtained for the density is 6.85 g/cm³. Its space group is Pmmm. Its formation energy is -12.0 kJ/mol of atoms.

Structure (extended XYZ):
```
12
Lattice="4.0689 0.0000 0.0000 0.0000 4.9004 0.0000 0.0000 0.0000 8.6564" Properties=species:S:1:pos:R:3 pbc="T T T"
Sc 0.0000 0.0000 0.0000
Sc 0.0000 2.4502 4.3282
Zn 0.0000 0.0000 2.8078
Zn 0.0000 0.0000 5.8486
Zn 0.0000 2.4502 1.4600
Zn 0.0000 2.4502 7.1965
Zn 2.0345 0.0000 4.3282
Co 2.0345 1.2011 2.0727
Co 2.0345 1.2011 6.5837
Co 2.0345 2.4502 0.0000
Co 2.0345 3.6993 2.0727
Co 2.0345 3.6993 6.5837
```



No. 6
Density functional theory data (PBE) for a relaxed U2Sb2Se7 crystal.

## Properties
The value obtained for the density is 7.39 g/cm³. Its space group is Imm2. The value obtained for the formation energy from raw total energies is -61.7 kJ/mol of atoms.

Structure (extended XYZ):
```
11
Lattice="-2.0165 7.8243 4.5326 2.0165 -7.8243 4.5326 2.0165 7.8243 -4.5326" Properties=species:S:1:pos:R:3 pbc="T T T"
U 0.0000 0.0000 0.0000
U 0.0000 7.8243 0.7870
Sb 2.0165 4.9112 -2.0628
Sb 0.0000 2.9131 2.4697
Se 2.0165 1.9304 0.4063
Se 2.0165 -2.8017 4.3099
Se 0.0000 0.0000 3.0650
Se 2.0165 6.2054 2.1158
Se 2.0165 2.8017 4.3099
Se 0.0000 1.6189 6.6484
Se 0.0000 5.8939 4.9389
```



No. 7
Density functional theory data (PBE) for a relaxed NaSc3Ag crystal.

## Properties
The value obtained for the density is 2.96 g/cm³. Its space group is Pm-3m. Its energy relative to the lowest polymorph listed for this composition is 0 meV/atom. Its formation energy is 41.2 kJ/mol of atoms.

Structure (extended XYZ):
```
5
Lattice="5.3038 0.0000 0.0000 0.0000 5.3038 0.0000 0.0000 0.0000 5.3038" Properties=species:S:1:pos:R:3 pbc="T T T"
Na 0.0000 0.0000 0.0000
Sc 0.0000 2.6519 2.6519
Sc 2.6519 0.0000 2.6519
Sc 2.6519 2.6519 0.0000
Ag 2.6519 2.6519 2.6519
```



No. 8
Density functional theory data (PBE) for a relaxed SmHo2ZrN4 crystal.

## Properties
The value obtained for the density is 9.15 g/cm³. Its space group is P2/m. The value obtained for the formation energy from raw total energies is -161.0 kJ/mol of atoms.

Structure (extended XYZ):
```
8
Lattice="5.9237 0.0000 0.0000 0.0000 3.4227 0.0000 -1.9621 0.0000 5.6176" Properties=species:S:1:pos:R:3 pbc="T T T"
Sm 0.0000 0.0000 0.0000
Ho 1.9808 0.0000 2.8088
Ho 2.9619 1.7114 0.0000
Zr -0.9811 1.7114 2.8088
N -0.0112 0.0000 4.1300
N 0.9532 1.7114 1.4865
N 3.0084 1.7114 4.1311
N 3.9728 0.0000 1.4875
```